UFeGe2 PBE-GGA relaxed; V = 17.2 Å³/atom; space-group type = R-3m, No. 166; energy relative to the elements = 0.222 eV per atom
1.0
1.435 0.828 9.635
-1.435 0.828 9.635
0.000 -1.656 9.635
U Fe Ge
1 1 2
direct
0.000 0.000 0.000
0.500 0.500 0.500
0.102 0.102 0.102
0.898 0.898 0.898